VASP calculation (GGA-PBE) on a relaxed structure of Ni2MoBr.

Results
- Symmetry: R-3m, No. 166
- Uncorrected formation energy: 0.463 eV/atom
- Excess energy over the best structure of this formula in the dataset: 12.6 kJ per mole of atoms
- Density: 8.07 g/cm3
- Raw total energy: -5.554 eV/atom

Cell: 2.885 2.885 25.109 Å, 90.00 90.00 120.00°
Positions (direct):
Ni 0.000 0.000 0.246
Ni 0.000 0.000 0.754
Ni 0.333 0.667 0.421
Ni 0.333 0.667 0.912
Ni 0.667 0.333 0.088
Ni 0.667 0.333 0.579
Mo 0.000 0.000 0.500
Mo 0.333 0.667 0.167
Mo 0.667 0.333 0.833
Br 0.000 0.000 0.000
Br 0.333 0.667 0.667
Br 0.667 0.333 0.333